The following is a GGA-PBE calculation of a relaxed PmTl2Cd2 crystal, from Alexandria.

Cell lengths 4.699, 23.750, 4.692 Å; angles 90.00, 90.00, 90.00 degrees
Space group Cmcm (No. 63)
One atom of each set of equivalent atoms:
Pm: 0.000 0.143 0.250 x4
Tl: 0.000 0.250 0.750 x4
Tl: 0.000 0.361 0.250 x4
Cd: 0.000 0.041 0.750 x4
Cd: 0.000 0.455 0.750 x4

Computed properties:
ΔE to the lowest computed polymorph, eV/f.u.: 0.00
Formation enthalpy at 0 K, eV/f.u.: -1.1